(1)
First-principles (PBE-GGA) data for PmDyScAg after structural relaxation, as listed in the Alexandria database.

Cell lengths 3.5549, 3.5549, 8.4370 Å; angles 90.00, 90.00, 90.00 degrees
Space group P4mm (No. 99)
Asymmetric unit:
Pm: 0.0000 0.0000 0.0000 (multiplicity 1)
Dy: 0.5000 0.5000 0.6930 (multiplicity 1)
Sc: 0.5000 0.5000 0.2803 (multiplicity 1)
Ag: 0.0000 0.0000 0.4649 (multiplicity 1)

The density of states at the Fermi level is 6.20 states/eV per cell. For the mass density, the calculation gives 7.17 g/cm3. For the offset from the most stable computed form, the calculation gives 0.0 meV/atom. The formation energy is -0.10 eV per atom.

***

(2)
First-principles (PBE-GGA) data for PmDyScAg after structural relaxation, as listed in the Alexandria database.

Cell lengths 7.4238, 7.4238, 7.4238 Å; angles 90.00, 90.00, 90.00 degrees
Space group F-43m (No. 216)
Asymmetric unit:
Pm: 0.0000 0.0000 0.0000 (multiplicity 4)
Dy: 0.2500 0.2500 0.2500 (multiplicity 4)
Sc: 0.2500 0.2500 0.7500 (multiplicity 4)
Ag: 0.0000 0.0000 0.5000 (multiplicity 4)

The density of states at the Fermi level is 21.67 states/eV per cell. For the mass density, the calculation gives 7.47 g/cm3. For the offset from the most stable computed form, the calculation gives 212.5 meV/atom. The formation energy is 0.11 eV per atom.

***

(3)
First-principles (PBE-GGA) data for Pm2DyAg3Se6 after structural relaxation, as listed in the Alexandria database.

Cell lengths 17.6206, 4.2558, 8.1311 Å; angles 90.00, 98.92, 90.00 degrees
Space group C2/m (No. 12)
Asymmetric unit:
Pm: 0.1666 0.0000 0.3249 (multiplicity 4)
Dy: 0.0000 0.5000 0.0000 (multiplicity 2)
Ag: 0.0000 0.5000 0.5000 (multiplicity 2)
Ag: 0.1745 0.0000 0.8117 (multiplicity 4)
Se: 0.0023 0.0000 0.7587 (multiplicity 4)
Se: 0.1639 0.5000 0.5776 (multiplicity 4)
Se: 0.1651 0.5000 0.0740 (multiplicity 4)

The density of states at the Fermi level is 0.00 states/eV per cell. For the mass density, the calculation gives 6.89 g/cm3. As for the formation energy without anion corrections: -1346 kJ/mol of formula units.

***

(4)
First-principles (PBE-GGA) data for Pm2DyAgSe5 after structural relaxation, as listed in the Alexandria database.

Cell lengths 4.1365, 17.4610, 12.5129 Å; angles 90.00, 90.00, 90.00 degrees
Space group Cmc2_1 (No. 36)
Asymmetric unit:
Pm: 0.0000 0.1101 0.0000 (multiplicity 4)
Pm: 0.0000 0.1251 0.6193 (multiplicity 4)
Dy: 0.0000 0.1955 0.3231 (multiplicity 4)
Ag: 0.0000 0.4433 0.7743 (multiplicity 4)
Se: 0.0000 0.0454 0.3951 (multiplicity 4)
Se: 0.0000 0.2862 0.9823 (multiplicity 4)
Se: 0.0000 0.3060 0.6585 (multiplicity 4)
Se: 0.0000 0.3597 0.3146 (multiplicity 4)
Se: 0.0000 0.4976 0.0873 (multiplicity 4)

The density of states at the Fermi level is 0.15 states/eV per cell. For the mass density, the calculation gives 7.02 g/cm3. As for the formation energy without anion corrections: -1335 kJ/mol of formula units.

***

(5)
First-principles (PBE-GGA) data for PmDySiAg after structural relaxation, as listed in the Alexandria database.

Cell lengths 7.2348, 7.2348, 7.2348 Å; angles 90.00, 90.00, 90.00 degrees
Space group F-43m (No. 216)
Asymmetric unit:
Pm: 0.0000 0.0000 0.0000 (multiplicity 4)
Dy: 0.0000 0.0000 0.5000 (multiplicity 4)
Si: 0.2500 0.2500 0.7500 (multiplicity 4)
Ag: 0.2500 0.2500 0.2500 (multiplicity 4)

The density of states at the Fermi level is 14.07 states/eV per cell. For the mass density, the calculation gives 7.78 g/cm3. As for the formation energy without anion corrections: -167 kJ/mol of formula units.

***

(6)
First-principles (PBE-GGA) data for PmSmDyAg after structural relaxation, as listed in the Alexandria database.

Cell lengths 7.7099, 7.7099, 7.7099 Å; angles 90.00, 90.00, 90.00 degrees
Space group F-43m (No. 216)
Asymmetric unit:
Pm: 0.0000 0.0000 0.0000 (multiplicity 4)
Sm: 0.2500 0.2500 0.7500 (multiplicity 4)
Dy: 0.2500 0.2500 0.2500 (multiplicity 4)
Ag: 0.0000 0.0000 0.5000 (multiplicity 4)

The density of states at the Fermi level is 26.64 states/eV per cell. For the mass density, the calculation gives 8.20 g/cm3. For the offset from the most stable computed form, the calculation gives 225.7 meV/atom. The formation energy is 0.10 eV per atom.

***

(7)
First-principles (PBE-GGA) data for PmSmDyAg after structural relaxation, as listed in the Alexandria database.

Cell lengths 3.6458, 3.6458, 8.8359 Å; angles 90.00, 90.00, 90.00 degrees
Space group P4mm (No. 99)
Asymmetric unit:
Pm: 0.0000 0.0000 0.0000 (multiplicity 1)
Sm: 0.5000 0.5000 0.7079 (multiplicity 1)
Dy: 0.5000 0.5000 0.2867 (multiplicity 1)
Ag: 0.0000 0.0000 0.4861 (multiplicity 1)

The density of states at the Fermi level is 5.11 states/eV per cell. For the mass density, the calculation gives 8.00 g/cm3. For the offset from the most stable computed form, the calculation gives 0.0 meV/atom. The formation energy is -0.13 eV per atom.

***

(8)
First-principles (PBE-GGA) data for Pm2DyAg2Sn2 after structural relaxation, as listed in the Alexandria database.

Cell lengths 4.8167, 4.8167, 27.7061 Å; angles 90.00, 90.00, 120.00 degrees
Space group R-3m (No. 166, hexagonal axes)
Asymmetric unit:
Pm: 0.0000 0.0000 0.1271 (multiplicity 6)
Dy: 0.0000 0.0000 0.0000 (multiplicity 3)
Ag: 0.0000 0.0000 0.3921 (multiplicity 6)
Sn: 0.0000 0.0000 0.2637 (multiplicity 6)

The density of states at the Fermi level is 11.12 states/eV per cell. For the mass density, the calculation gives 8.10 g/cm3. The formation energy is -0.40 eV per atom.

***

(9)
First-principles (PBE-GGA) data for TbPmDyAg after structural relaxation, as listed in the Alexandria database.

Cell lengths 3.6197, 3.6197, 8.8012 Å; angles 90.00, 90.00, 90.00 degrees
Space group P4mm (No. 99)
Asymmetric unit:
Tb: 0.0000 0.0000 0.0000 (multiplicity 1)
Pm: 0.5000 0.5000 0.2911 (multiplicity 1)
Dy: 0.0000 0.0000 0.5811 (multiplicity 1)
Ag: 0.5000 0.5000 0.7882 (multiplicity 1)

The density of states at the Fermi level is 4.91 states/eV per cell. For the mass density, the calculation gives 8.27 g/cm3. For the offset from the most stable computed form, the calculation gives 0.0 meV/atom. The formation energy is -0.13 eV per atom.

***

(10)
First-principles (PBE-GGA) data for TbPmDyAg after structural relaxation, as listed in the Alexandria database.

Cell lengths 7.6668, 7.6668, 7.6668 Å; angles 90.00, 90.00, 90.00 degrees
Space group F-43m (No. 216)
Asymmetric unit:
Tb: 0.0000 0.0000 0.0000 (multiplicity 4)
Pm: 0.2500 0.2500 0.2500 (multiplicity 4)
Dy: 0.0000 0.0000 0.5000 (multiplicity 4)
Ag: 0.2500 0.2500 0.7500 (multiplicity 4)

The density of states at the Fermi level is 25.13 states/eV per cell. For the mass density, the calculation gives 8.46 g/cm3. For the offset from the most stable computed form, the calculation gives 231.1 meV/atom. The formation energy is 0.10 eV per atom.

***

(11)
First-principles (PBE-GGA) data for PmDy2Ag3Te6 after structural relaxation, as listed in the Alexandria database.

Cell lengths 17.2627, 4.4780, 10.5244 Å; angles 90.00, 105.42, 90.00 degrees
Space group C2/m (No. 12)
Asymmetric unit:
Pm: 0.0000 0.0000 0.0000 (multiplicity 2)
Dy: 0.1626 0.5000 0.3327 (multiplicity 4)
Ag: 0.0000 0.0000 0.5000 (multiplicity 2)
Ag: 0.1679 0.5000 0.9684 (multiplicity 4)
Te: 0.0163 0.5000 0.7916 (multiplicity 4)
Te: 0.1573 0.0000 0.5297 (multiplicity 4)
Te: 0.1943 0.0000 0.1437 (multiplicity 4)

For the mass density, the calculation gives 6.60 g/cm3. As for the formation energy without anion corrections: -1011 kJ/mol of formula units.

***

(12)
First-principles (PBE-GGA) data for PmDyAg2Te4 after structural relaxation, as listed in the Alexandria database.

Cell lengths 6.8904, 6.9466, 12.4095 Å; angles 90.00, 90.00, 90.00 degrees
Space group I222 (No. 23)
Asymmetric unit:
Pm: 0.0000 0.0000 0.0000 (multiplicity 2)
Dy: 0.0000 0.0000 0.5000 (multiplicity 2)
Ag: 0.0000 0.5000 0.1208 (multiplicity 4)
Te: 0.2204 0.2693 0.3600 (multiplicity 8)

The density of states at the Fermi level is 0.00 states/eV per cell. For the mass density, the calculation gives 5.78 g/cm3. As for the formation energy without anion corrections: -560 kJ/mol of formula units.